Compound: K2V3O8
Source: Alexandria via LeMat-Bulk
Functional: SCAN
Structure: single point on PBEsol structure

Unit cell a=8.8318 b=8.8318 c=5.2976 alpha=90.00 beta=90.00 gamma=90.00
Positions (direct):
K  0.1679  0.3321  0.0000
K  0.3321  0.8321  0.0000
K  0.6679  0.1679  0.0000
K  0.8321  0.6679  0.0000
V  0.0000  0.0000  0.4505
V  0.1348  0.6348  0.4675
V  0.3652  0.1348  0.4675
V  0.5000  0.5000  0.4505
V  0.6348  0.8652  0.4675
V  0.8652  0.3652  0.4675
O  0.0000  0.0000  0.7537
O  0.0000  0.5000  0.3471
O  0.0852  0.8097  0.3498
O  0.1325  0.6325  0.7775
O  0.1903  0.0852  0.3498
O  0.3097  0.5852  0.3498
O  0.3675  0.1325  0.7775
O  0.4148  0.3097  0.3498
O  0.5000  0.0000  0.3471
O  0.5000  0.5000  0.7537
O  0.5852  0.6903  0.3498
O  0.6325  0.8675  0.7775
O  0.6903  0.4148  0.3498
O  0.8097  0.9148  0.3498
O  0.8675  0.3675  0.7775
O  0.9148  0.1903  0.3498

Results
formation energy from raw total energies = -2.593 eV per atom
uncorrected energy = -11.74 eV per atom
symmetry = No. 100


Compound: KV3O8
Source: Alexandria via LeMat-Bulk
Functional: SCAN
Structure: single point on PBEsol structure

Unit cell a=4.9918 b=8.4508 c=7.7318 alpha=90.00 beta=99.27 gamma=90.00
Positions (direct):
K  0.0312  0.2500  0.4435
K  0.9688  0.7500  0.5565
V  0.0729  0.2500  0.9288
V  0.4509  0.5557  0.1861
V  0.4509  0.9443  0.1861
V  0.5491  0.0557  0.8139
V  0.5491  0.4443  0.8139
V  0.9271  0.7500  0.0712
O  0.1057  0.7500  0.9166
O  0.1270  0.6026  0.2297
O  0.1270  0.8974  0.2297
O  0.3191  0.0880  0.9960
O  0.3191  0.4120  0.9960
O  0.4007  0.2500  0.7417
O  0.4108  0.5620  0.6626
O  0.4108  0.9380  0.6626
O  0.5892  0.0620  0.3374
O  0.5892  0.4380  0.3374
O  0.5993  0.7500  0.2583
O  0.6809  0.5880  0.0040
O  0.6809  0.9120  0.0040
O  0.8730  0.1026  0.7703
O  0.8730  0.3974  0.7703
O  0.8943  0.2500  0.0834

Results
formation energy from raw total energies = -2.533 eV per atom
uncorrected energy = -11.75 eV per atom
symmetry = No. 11


Compound: KV4O10
Source: Alexandria via LeMat-Bulk
Functional: SCAN
Structure: single point on PBEsol structure

Unit cell a=5.9742 b=5.9742 c=19.8703 alpha=90.00 beta=90.00 gamma=144.19
Positions (direct):
K  0.1034  0.8966  0.7500
K  0.8966  0.1034  0.2500
V  0.2680  0.7320  0.5760
V  0.2680  0.7320  0.9240
V  0.4312  0.5688  0.0745
V  0.4312  0.5688  0.4255
V  0.5688  0.4312  0.5745
V  0.5688  0.4312  0.9255
V  0.7320  0.2680  0.0760
V  0.7320  0.2680  0.4240
O  0.0967  0.9033  0.5592
O  0.0967  0.9033  0.9408
O  0.2578  0.7422  0.0549
O  0.2578  0.7422  0.4451
O  0.2810  0.7190  0.6561
O  0.2810  0.7190  0.8439
O  0.4185  0.5815  0.5465
O  0.4185  0.5815  0.9535
O  0.4440  0.5560  0.1554
O  0.4440  0.5560  0.3446
O  0.5560  0.4440  0.6554
O  0.5560  0.4440  0.8446
O  0.5815  0.4185  0.0465
O  0.5815  0.4185  0.4535
O  0.7190  0.2810  0.1561
O  0.7190  0.2810  0.3439
O  0.7422  0.2578  0.5549
O  0.7422  0.2578  0.9451
O  0.9033  0.0967  0.0592
O  0.9033  0.0967  0.4408

Results
formation energy from raw total energies = -2.545 eV per atom
uncorrected energy = -11.92 eV per atom
symmetry = No. 63


Compound: K3VO8
Source: Alexandria via LeMat-Bulk
Functional: SCAN
Structure: single point on PBEsol structure

Unit cell a=6.0645 b=6.0645 c=6.0645 alpha=113.18 beta=113.18 gamma=102.28
Positions (direct):
K  0.0000  0.0000  0.0000
K  0.2500  0.7500  0.5000
K  0.7500  0.2500  0.5000
V  0.5000  0.5000  0.0000
O  0.1800  0.4516  0.0000
O  0.2820  0.6918  0.0000
O  0.3082  0.3082  0.5901
O  0.4516  0.1800  0.0000
O  0.5484  0.5484  0.7284
O  0.6918  0.2820  0.0000
O  0.7180  0.7180  0.4099
O  0.8200  0.8200  0.2716

Results
formation energy from raw total energies = -1.465 eV per atom
uncorrected energy = -9.16 eV per atom
symmetry = No. 121


Compound: K2V8O21
Source: Alexandria via LeMat-Bulk
Functional: SCAN
Structure: single point on PBEsol structure

Unit cell a=7.7165 b=7.7165 c=14.7647 alpha=91.27 beta=91.27 gamma=26.65
Positions (direct):
K  0.0283  0.0283  0.3117
K  0.9717  0.9717  0.6883
V  0.1889  0.1889  0.0716
V  0.3129  0.3129  0.2714
V  0.3315  0.3315  0.4791
V  0.4100  0.4100  0.0763
V  0.5900  0.5900  0.9237
V  0.6685  0.6685  0.5209
V  0.6871  0.6871  0.7286
V  0.8111  0.8111  0.9284
O  0.1127  0.1127  0.1447
O  0.1167  0.1167  0.9508
O  0.1602  0.1602  0.7392
O  0.2086  0.2086  0.5273
O  0.2158  0.2158  0.3137
O  0.2881  0.2881  0.1409
O  0.3052  0.3052  0.9662
O  0.3887  0.3887  0.3780
O  0.4061  0.4061  0.5591
O  0.4569  0.4569  0.1760
O  0.5000  0.5000  0.0000
O  0.5431  0.5431  0.8240
O  0.5939  0.5939  0.4409
O  0.6113  0.6113  0.6220
O  0.6948  0.6948  0.0338
O  0.7119  0.7119  0.8591
O  0.7842  0.7842  0.6863
O  0.7914  0.7914  0.4727
O  0.8398  0.8398  0.2608
O  0.8833  0.8833  0.0492
O  0.8873  0.8873  0.8553

Results
formation energy from raw total energies = -2.519 eV per atom
uncorrected energy = -11.79 eV per atom
symmetry = No. 12


Compound: KW4O12
Source: Alexandria via LeMat-Bulk
Functional: SCAN
Structure: single point on PBEsol structure

Unit cell a=7.4171 b=7.4171 c=15.2502 alpha=90.00 beta=90.00 gamma=120.00
Positions (direct):
K  0.0000  0.0000  0.0000
K  0.0000  0.0000  0.3181
K  0.0000  0.0000  0.6371
W  0.0000  0.5000  0.1940
W  0.0000  0.5000  0.4444
W  0.0000  0.5000  0.6945
W  0.0000  0.5000  0.9439
W  0.5000  0.0000  0.1940
W  0.5000  0.0000  0.4444
W  0.5000  0.0000  0.6945
W  0.5000  0.0000  0.9439
W  0.5000  0.5000  0.1940
W  0.5000  0.5000  0.4444
W  0.5000  0.5000  0.6945
W  0.5000  0.5000  0.9439
O  0.0000  0.5000  0.0694
O  0.0000  0.5000  0.3192
O  0.0000  0.5000  0.5690
O  0.0000  0.5000  0.8192
O  0.2124  0.4248  0.1946
O  0.2124  0.4248  0.4438
O  0.2123  0.4246  0.6936
O  0.2123  0.4246  0.9448
O  0.2124  0.7876  0.1946
O  0.2124  0.7876  0.4438
O  0.2123  0.7877  0.6936
O  0.2123  0.7877  0.9448
O  0.4248  0.2124  0.1946
O  0.4248  0.2124  0.4438
O  0.4246  0.2123  0.6936
O  0.4246  0.2123  0.9448
O  0.5000  0.0000  0.0694
O  0.5000  0.0000  0.3192
O  0.5000  0.0000  0.5690
O  0.5000  0.0000  0.8192
O  0.5000  0.5000  0.0694
O  0.5000  0.5000  0.3192
O  0.5000  0.5000  0.5690
O  0.5000  0.5000  0.8192
O  0.5752  0.7876  0.1946
O  0.5752  0.7876  0.4438
O  0.5754  0.7877  0.6936
O  0.5754  0.7877  0.9448
O  0.7876  0.2124  0.1946
O  0.7876  0.2124  0.4438
O  0.7877  0.2123  0.6936
O  0.7877  0.2123  0.9448
O  0.7876  0.5752  0.1946
O  0.7876  0.5752  0.4438
O  0.7877  0.5754  0.6936
O  0.7877  0.5754  0.9448

Results
formation energy from raw total energies = -2.282 eV per atom
uncorrected energy = -23.57 eV per atom
symmetry = No. 183


> Number 5 is which compound?

K2V8O21


> Among the records above, which one has the highest formation energy from raw total energies?

K3VO8


> The highest formation energy from raw total energies belongs to which entry?

K3VO8


> Look up the uncorrected energy of the second one.

-11.75 eV per atom